A geometry-optimized La7Tm4Sc structure. Source: Alexandria, functional GGA-PBE.

abc: 6.2059 7.1865 9.6657
angles: 101.35 95.74 105.55
Last column: nearest neighbours and their distance in Å.
Positions (direct):
La: 0.0000 0.0000 0.0000  6 Tm 3.59-3.61, 2 Sc 3.59, 4 La 3.61-3.62
La: 0.0044 0.1710 0.6719  5 Tm 3.57-3.70, 1 Sc 3.57, 6 La 3.62-3.71
La: 0.4955 0.4141 0.1607  5 Tm 3.56-3.62, 5 La 3.56-3.70, 2 Sc 3.56-3.59
La: 0.4978 0.2506 0.4946  7 La 3.56-3.70, 5 Tm 3.57-3.71
La: 0.5022 0.7494 0.5054  7 La 3.56-3.70, 5 Tm 3.57-3.71
La: 0.5045 0.5859 0.8393  5 Tm 3.56-3.62, 5 La 3.56-3.70, 2 Sc 3.56-3.59
La: 0.9956 0.8290 0.3281  5 Tm 3.57-3.70, 1 Sc 3.57, 6 La 3.62-3.71
Tm: 0.0031 0.6662 0.6680  9 La 3.57-3.70, 2 Tm 3.62-3.66, 1 Sc 3.64
Tm: 0.4975 0.9146 0.1654  9 La 3.56-3.71, 1 Sc 3.63, 2 Tm 3.64-3.66
Tm: 0.5025 0.0854 0.8346  9 La 3.56-3.71, 1 Sc 3.63, 2 Tm 3.64-3.66
Tm: 0.9969 0.3338 0.3320  9 La 3.57-3.70, 2 Tm 3.62-3.66, 1 Sc 3.64
Sc: 0.0000 0.5000 0.0000  8 La 3.56-3.59, 4 Tm 3.63-3.64

Results
Crystal system   triclinic
ΔH_f (0 K)   0.0407 eV per atom